## LiSc2FeC (GGA-PBE)

Data for an optimized crystal structure of LiSc2FeC.

Unit cell a=4.604 b=4.604 c=3.640 alpha=90.00 beta=90.00 gamma=90.00
Space group P4/mmm (No. 123)
Asymmetric unit:
Li 0.000 0.000 0.000 (multiplicity 1)
Sc 0.000 0.500 0.500 (multiplicity 2)
Fe 0.500 0.500 0.000 (multiplicity 1)
C 0.500 0.500 0.500 (multiplicity 1)

Properties
Energy of formation from the pure elements = -0.243 eV per atom